[1]
Compound: Ba2CaHgN
Source: Alexandria
Functional: PBE
Structure: optimized geometry

Values from the calculation:
- electronic total energy (eV/f.u.) = -16.6
- spin magnetization (μB/f.u.) = 0.7
- volume (Å³ per cell) = 159.39

Cell lengths 5.7616, 5.7616, 4.8014 Å; angles 90.00, 90.00, 90.00 degrees
With the nearest neighbours (Å) after each atom.
Positions (direct):
Ca  0.0000  0.0000  0.5000  2 N 2.40
N  0.0000  0.0000  0.0000  2 Ca 2.40
Hg  0.5000  0.5000  0.5000  8 Ba 3.75, 4 Ca 4.07
Ba  0.0000  0.5000  0.0000  2 N 2.88
Ba  0.5000  0.0000  0.0000  2 N 2.88

[2]
Compound: NdGa6Pd12
Source: Alexandria
Functional: PBE
Structure: optimized geometry

Values from the calculation:
- spin magnetization (μB/f.u.) = 0.0
- volume (Å³ per cell) = 323.58
- E_form (eV per atom) = -0.58

Cell lengths 7.2244, 7.2244, 7.2244 Å; angles 105.82, 105.82, 105.82 degrees
With the nearest neighbours (Å) after each atom.
Positions (direct):
Nd  0.0000  0.0000  0.0000  6 Pd 3.22
Ga  0.7042  0.2652  0.2652  7 Pd 2.46-2.64
Ga  0.2652  0.2652  0.7042  7 Pd 2.46-2.64
Ga  0.2652  0.7042  0.2652  7 Pd 2.46-2.64
Ga  0.7348  0.7348  0.2958  7 Pd 2.46-2.64
Ga  0.2958  0.7348  0.7348  7 Pd 2.46-2.64
Ga  0.7348  0.2958  0.7348  7 Pd 2.46-2.64
Pd  0.8790  0.1210  0.5000  4 Ga 2.46-2.53
Pd  0.8385  0.5903  0.5903  3 Ga 2.55-2.64, 2 Pd 2.84
Pd  0.5903  0.5903  0.8385  3 Ga 2.55-2.64, 2 Pd 2.84
Pd  0.4097  0.1615  0.4097  3 Ga 2.55-2.64, 2 Pd 2.84
Pd  0.4097  0.4097  0.1615  3 Ga 2.55-2.64, 2 Pd 2.84
Pd  0.1615  0.4097  0.4097  3 Ga 2.55-2.64, 2 Pd 2.84
Pd  0.1210  0.5000  0.8790  4 Ga 2.46-2.53
Pd  0.5000  0.8790  0.1210  4 Ga 2.46-2.53
Pd  0.1210  0.8790  0.5000  4 Ga 2.46-2.53
Pd  0.8790  0.5000  0.1210  4 Ga 2.46-2.53
Pd  0.5000  0.1210  0.8790  4 Ga 2.46-2.53
Pd  0.5903  0.8385  0.5903  3 Ga 2.55-2.64, 2 Pd 2.84

[3]
Compound: CaMnP4
Source: Alexandria
Functional: PBE
Structure: optimized geometry

Values from the calculation:
- spin magnetization (μB/f.u.) = 3.7
- volume (Å³ per cell) = 102.32
- E_form (eV per atom) = 0.20

Cell lengths 5.2500, 5.2500, 5.2500 Å; angles 60.00, 60.00, 60.00 degrees
With the nearest neighbours (Å) after each atom.
Positions (direct):
Ca  0.7500  0.7500  0.7500  12 P 3.09, 4 Mn 3.21
Mn  0.0000  0.0000  0.0000  12 P 3.07, 4 Ca 3.21
P  0.3689  0.8932  0.3689  6 P 2.50-2.75
P  0.8932  0.3689  0.3689  6 P 2.50-2.75
P  0.3689  0.3689  0.8932  6 P 2.50-2.75
P  0.3689  0.3689  0.3689  6 P 2.50-2.75

[4]
Compound: Tb3Y4Sc3
Source: Alexandria
Functional: PBE
Structure: optimized geometry

Values from the calculation:
- spin magnetization (μB/f.u.) = 0.0
- volume (Å³ per cell) = 301.03
- E_form (eV per atom) = 0.10

Cell lengths 3.6339, 9.1019, 9.1019 Å; angles 90.51, 90.00, 90.00 degrees
With the nearest neighbours (Å) after each atom.
Positions (direct):
Tb  0.0000  0.5024  0.0021  4 Y 3.49-3.66, 4 Tb 3.63-3.85, 6 Sc 3.80-3.88
Tb  0.0000  0.9979  0.4976  4 Y 3.49-3.66, 4 Tb 3.63-3.85, 6 Sc 3.80-3.88
Tb  0.5000  0.1702  0.8298  6 Y 3.24-3.36
Y  0.0000  0.6308  0.3692  6 Sc 3.15-3.28, 1 Y 3.28
Y  0.0000  0.3774  0.6226  2 Tb 3.24, 4 Sc 3.25, 1 Y 3.28
Y  0.0000  0.8635  0.8753  4 Sc 3.15-3.26, 1 Y 3.35, 3 Tb 3.36-3.49
Y  0.0000  0.1247  0.1365  4 Sc 3.15-3.26, 1 Y 3.35, 3 Tb 3.36-3.49
Sc  0.5000  0.8294  0.1706  6 Y 3.15-3.26
Sc  0.5000  0.3327  0.3290  6 Y 3.15-3.28
Sc  0.5000  0.6710  0.6673  6 Y 3.15-3.28

[5]
Compound: VSnBi2Ir
Source: Alexandria
Functional: PBE
Structure: optimized geometry

Values from the calculation:
- spin magnetization (μB/f.u.) = 0.0
- volume (Å³ per cell) = 156.97
- E_form (eV per atom) = 1.63

Cell lengths 5.6713, 4.8804, 5.6713 Å; angles 90.00, 90.00, 90.00 degrees
With the nearest neighbours (Å) after each atom.
Positions (direct):
V  0.5000  0.5000  0.5000  8 Bi 3.74, 4 Ir 4.01
Ir  0.0000  0.5000  0.0000  2 Sn 2.44
Bi  0.0000  0.0000  0.5000  2 Sn 2.84
Bi  0.5000  0.0000  0.0000  2 Sn 2.84
Sn  0.0000  0.0000  0.0000  2 Ir 2.44

[6]
Compound: La2Dy6YTm3
Source: Alexandria
Functional: PBE
Structure: optimized geometry

Values from the calculation:
- spin magnetization (μB/f.u.) = 0.0
- volume (Å³ per cell) = 384.86
- E_form (eV per atom) = 0.03

Cell lengths 6.1796, 6.1796, 11.8165 Å; angles 94.99, 94.99, 119.99 degrees
With the nearest neighbours (Å) after each atom.
Positions (direct):
La  0.3336  0.6664  0.0000  3 La 3.56-3.57, 3 Y 3.57, 6 Dy 3.62-3.63
La  0.6664  0.3336  0.0000  3 La 3.56-3.57, 3 Y 3.57, 6 Dy 3.62-3.63
Dy  0.9140  0.5814  0.7438  3 Tm 3.50-3.51, 6 Dy 3.56-3.57, 1 Y 3.62, 2 La 3.62-3.63
Dy  0.7536  0.7536  0.2564  3 Tm 3.50-3.51, 6 Dy 3.56-3.57, 1 Y 3.62, 2 La 3.63
Dy  0.0860  0.4186  0.2562  3 Tm 3.50-3.51, 6 Dy 3.56-3.57, 1 Y 3.62, 2 La 3.62-3.63
Dy  0.5814  0.9140  0.7438  3 Tm 3.50-3.51, 6 Dy 3.56-3.57, 1 Y 3.62, 2 La 3.62-3.63
Dy  0.2464  0.2464  0.7436  3 Tm 3.50-3.51, 6 Dy 3.56-3.57, 1 Y 3.62, 2 La 3.63
Dy  0.4186  0.0860  0.2562  3 Tm 3.50-3.51, 6 Dy 3.56-3.57, 1 Y 3.62, 2 La 3.62-3.63
Y  0.0000  0.0000  0.0000  6 La 3.57, 6 Dy 3.62
Tm  0.1663  0.8337  0.5000  6 Dy 3.50-3.51, 6 Tm 3.56-3.57
Tm  0.8337  0.1663  0.5000  6 Dy 3.50-3.51, 6 Tm 3.56-3.57
Tm  0.5000  0.5000  0.5000  6 Dy 3.50-3.51, 6 Tm 3.57

[7]
Compound: Ac2NiB12Ru3
Source: Alexandria
Functional: PBE
Structure: optimized geometry

Values from the calculation:
- spin magnetization (μB/f.u.) = 0.0
- volume (Å³ per cell) = 214.85
- E_form (eV per atom) = 0.26

Cell lengths 6.0365, 6.0365, 6.0365 Å; angles 82.56, 82.56, 82.56 degrees
With the nearest neighbours (Å) after each atom.
Positions (direct):
Ac  0.6931  0.6931  0.6931  6 B 2.72-2.81, 3 Ru 2.83
Ac  0.3069  0.3069  0.3069  6 B 2.72-2.81, 3 Ru 2.83
Ni  0.0000  0.0000  0.0000  6 B 1.91
B  0.3513  0.3513  0.7409  1 B 1.64
B  0.8311  0.8311  0.2388  1 B 1.64
B  0.2388  0.8311  0.8311  1 B 1.64
B  0.7409  0.3513  0.3513  1 B 1.64
B  0.8311  0.2388  0.8311  1 B 1.64
B  0.3513  0.7409  0.3513  1 B 1.64
B  0.6487  0.6487  0.2591  1 B 1.64
B  0.1689  0.1689  0.7612  1 B 1.64
B  0.7612  0.1689  0.1689  1 B 1.64
B  0.2591  0.6487  0.6487  1 B 1.64
B  0.1689  0.7612  0.1689  1 B 1.64
B  0.6487  0.2591  0.6487  1 B 1.64
Ru  0.5000  0.0000  0.0000  10 B 2.38-2.64
Ru  0.0000  0.5000  0.0000  10 B 2.38-2.64
Ru  0.0000  0.0000  0.5000  10 B 2.38-2.64

[8]
Compound: Zn6IrAu5
Source: Alexandria
Functional: PBE
Structure: optimized geometry

Values from the calculation:
- spin magnetization (μB/f.u.) = 0.0
- volume (Å³ per cell) = 190.64
- E_form (eV per atom) = -0.18

Cell lengths 4.6573, 5.8326, 7.9273 Å; angles 68.42, 73.46, 90.00 degrees
With the nearest neighbours (Å) after each atom.
Positions (direct):
Zn  0.8289  0.5990  0.3187  1 Ir 2.65, 7 Au 2.70-2.83, 1 Zn 2.82
Zn  0.8289  0.0824  0.3187  1 Ir 2.65, 7 Au 2.70-2.83, 1 Zn 2.82
Zn  0.5001  0.7670  0.0000  2 Ir 2.70, 1 Zn 2.72, 6 Au 2.80-2.82
Zn  0.4999  0.2330  0.0000  2 Ir 2.70, 1 Zn 2.72, 6 Au 2.80-2.82
Zn  0.1711  0.9176  0.6813  1 Ir 2.65, 7 Au 2.70-2.83, 1 Zn 2.82
Zn  0.1711  0.4010  0.6813  1 Ir 2.65, 7 Au 2.70-2.83, 1 Zn 2.82
Ir  0.0000  0.0000  0.0000  8 Zn 2.65-2.70, 2 Au 2.92
Au  0.6881  0.1762  0.6474  8 Zn 2.73-2.82, 2 Au 2.92
Au  0.3248  0.3340  0.3321  8 Zn 2.77-2.83, 2 Au 2.92
Au  0.0000  0.5000  0.0000  8 Zn 2.70-2.80, 2 Ir 2.92
Au  0.6752  0.6660  0.6679  8 Zn 2.77-2.83, 2 Au 2.92
Au  0.3119  0.8238  0.3526  8 Zn 2.73-2.82, 2 Au 2.92

[9]
Compound: LiDyYIn
Source: Alexandria
Functional: PBE
Structure: optimized geometry

Values from the calculation:
- spin magnetization (μB/f.u.) = 0.0
- volume (Å³ per cell) = 103.88
- E_form (eV per atom) = -0.28

Cell lengths 5.2765, 5.2765, 5.2765 Å; angles 60.00, 60.00, 60.00 degrees
With the nearest neighbours (Å) after each atom.
Positions (direct):
Y  0.7500  0.7500  0.7500  4 In 3.23, 4 Li 3.23
In  0.5000  0.5000  0.5000  4 Dy 3.23, 4 Y 3.23
Li  0.0000  0.0000  0.0000  4 Dy 3.23, 4 Y 3.23
Dy  0.2500  0.2500  0.2500  4 Li 3.23, 4 In 3.23

[10]
Compound: In2Re
Source: Alexandria
Functional: PBE
Structure: optimized geometry

Values from the calculation:
- spin magnetization (μB/f.u.) = 0.0
- volume (Å³ per cell) = 176.47
- E_form (eV per atom) = 0.60

Cell lengths 8.3082, 8.3082, 2.9521 Å; angles 90.00, 90.00, 120.00 degrees
With the nearest neighbours (Å) after each atom.
Positions (direct):
In  0.2859  0.0000  0.0000  4 Re 2.80-2.99, 4 In 2.95-3.09
In  0.0000  0.2859  0.0000  4 Re 2.80-2.99, 4 In 2.95-3.09
In  0.7141  0.7141  0.0000  4 Re 2.80-2.99, 4 In 2.95-3.09
In  0.6129  0.0000  0.5000  8 In 2.95-3.24, 5 Re 2.97-3.22
In  0.0000  0.6129  0.5000  8 In 2.95-3.24, 5 Re 2.97-3.22
In  0.3871  0.3871  0.5000  8 In 2.95-3.24, 5 Re 2.97-3.22
Re  0.3333  0.6667  0.0000  2 Re 2.95, 9 In 2.97-2.99
Re  0.6667  0.3333  0.0000  2 Re 2.95, 9 In 2.97-2.99
Re  0.0000  0.0000  0.5000  6 In 2.80, 2 Re 2.95

[11]
Compound: Sr3Li2Ca4
Source: Alexandria
Functional: PBE
Structure: optimized geometry

Values from the calculation:
- spin magnetization (μB/f.u.) = 0.0
- volume (Å³ per cell) = 381.78
- E_form (eV per atom) = 0.05

Cell lengths 4.2061, 9.5650, 11.1278 Å; angles 61.45, 79.11, 77.30 degrees
With the nearest neighbours (Å) after each atom.
Positions (direct):
Sr  0.6266  0.1197  0.6271  3 Li 3.55-3.68
Sr  0.0000  0.0000  0.0000  4 Ca 3.83, 6 Sr 4.21-4.26
Sr  0.3734  0.8803  0.3729  3 Li 3.55-3.68
Li  0.7454  0.2412  0.2680  4 Ca 3.29-3.50, 1 Sr 3.55
Li  0.2546  0.7588  0.7320  4 Ca 3.29-3.50, 1 Sr 3.55
Ca  0.3262  0.3361  0.0114  2 Li 3.29, 2 Ca 3.63
Ca  0.9141  0.4899  0.6820  2 Li 3.50, 3 Ca 3.84-3.89
Ca  0.0859  0.5101  0.3180  2 Li 3.50, 3 Ca 3.84-3.89
Ca  0.6738  0.6639  0.9886  2 Li 3.29, 2 Ca 3.63

[12]
Compound: AcSmHo
Source: Alexandria
Functional: PBE
Structure: optimized geometry

Values from the calculation:
- E above lowest polymorph (eV/atom) = 0.0000
- spin magnetization (μB/f.u.) = 0.0
- volume (Å³ per cell) = 108.98
- E_form (eV per atom) = 0.05

Cell lengths 3.7516, 3.7516, 8.1846 Å; angles 103.25, 103.25, 90.00 degrees
With the nearest neighbours (Å) after each atom.
Positions (direct):
Ac  0.3320  0.3320  0.6641  4 Ho 3.75, 4 Ac 3.75, 4 Sm 3.79
Ho  0.6613  0.6613  0.3226  4 Sm 3.57, 4 Ac 3.75, 4 Ho 3.75
Sm  0.0067  0.0067  0.0134  4 Ho 3.57, 4 Sm 3.75, 4 Ac 3.79

[13]
Compound: Ti3CdN
Source: Alexandria
Functional: PBE
Structure: optimized geometry

Values from the calculation:
- electronic total energy (eV/f.u.) = -36.5
- spin magnetization (μB/f.u.) = 0.3
- volume (Å³ per cell) = 153.03

Cell lengths 2.9624, 9.6882, 5.7248 Å; angles 75.86, 105.36, 88.96 degrees
With the nearest neighbours (Å) after each atom.
Positions (direct):
Cd  0.0739  0.8280  0.9916  5 Cd 2.88-3.21, 6 Ti 2.93-3.22
Cd  0.7286  0.8007  0.4866  5 Cd 2.88-3.21, 7 Ti 2.93-3.20
Ti  0.0935  0.5554  0.3571  4 Ti 2.63-2.94, 2 Cd 2.93
Ti  0.3446  0.0546  0.5952  2 N 1.98-1.99
Ti  0.1446  0.3164  0.2207  4 N 2.09-2.12
Ti  0.8768  0.3033  0.6985  3 N 2.07-2.13
Ti  0.4466  0.5446  0.8751  1 N 2.04
Ti  0.5963  0.0978  0.0983  2 N 2.17
N  0.7555  0.1804  0.4286  6 Ti 1.98-2.17
N  0.5044  0.3276  0.9482  6 Ti 2.04-2.17

[14]
Compound: MgBrCl2
Source: Alexandria
Functional: PBE
Structure: optimized geometry

Values from the calculation:
- E above lowest polymorph (eV/atom) = 0.0042
- spin magnetization (μB/f.u.) = 1.0
- volume (Å³ per cell) = 132.74

Cell lengths 12.3329, 12.3329, 12.3329 Å; angles 16.55, 16.55, 16.55 degrees
With the nearest neighbours (Å) after each atom.
Positions (direct):
Mg  0.5000  0.5000  0.5000  6 Cl 2.49
Br  0.0000  0.0000  0.0000  6 Br 3.55
Cl  0.8722  0.8722  0.8722  3 Mg 2.49
Cl  0.1278  0.1278  0.1278  3 Mg 2.49

[15]
Compound: Sr2LaAlO
Source: Alexandria
Functional: PBE
Structure: optimized geometry

Values from the calculation:
- electronic total energy (eV/f.u.) = -22.9
- spin magnetization (μB/f.u.) = 0.0
- volume (Å³ per cell) = 134.84

Cell lengths 5.1226, 5.1226, 5.1385 Å; angles 90.00, 90.00, 90.00 degrees
With the nearest neighbours (Å) after each atom.
Positions (direct):
Sr  0.0000  0.5000  0.0000  2 O 2.56
Sr  0.5000  0.0000  0.0000  2 O 2.56
Al  0.5000  0.5000  0.5000  4 La 3.62, 8 Sr 3.63
O  0.0000  0.0000  0.0000  4 Sr 2.56, 2 La 2.57
La  0.0000  0.0000  0.5000  2 O 2.57

[16]
Compound: Zn2InRe
Source: Alexandria
Functional: PBE
Structure: optimized geometry

Values from the calculation:
- spin magnetization (μB/f.u.) = 0.5
- volume (Å³ per cell) = 67.22
- E_form (eV per atom) = 0.39

Cell lengths 9.0895, 9.0895, 9.0895 Å; angles 18.67, 18.67, 18.67 degrees
With the nearest neighbours (Å) after each atom.
Positions (direct):
In  0.4998  0.4998  0.4998  3 Re 2.92, 3 Zn 2.94, 6 In 2.95
Re  0.7447  0.7447  0.7447  3 Zn 2.70, 3 In 2.92, 6 Re 2.95
Zn  0.9996  0.9996  0.9996  9 Zn 2.68-2.95, 3 Re 2.70
Zn  0.2559  0.2559  0.2559  9 Zn 2.68-2.95, 3 In 2.94

[17]
Compound: Re3HRh
Source: Alexandria
Functional: PBE
Structure: optimized geometry

Values from the calculation:
- E above lowest polymorph (eV/atom) = 2.9574
- spin magnetization (μB/f.u.) = 0.0
- volume (Å³ per cell) = 102.53

Cell lengths 4.6804, 4.6804, 4.6804 Å; angles 90.00, 90.00, 90.00 degrees
With the nearest neighbours (Å) after each atom.
Positions (direct):
Re  0.0000  0.5000  0.0000  2 Rh 2.34
Re  0.0000  0.0000  0.5000  2 Rh 2.34
Re  0.5000  0.0000  0.0000  2 Rh 2.34
Rh  0.0000  0.0000  0.0000  6 Re 2.34
H  0.5000  0.5000  0.5000  12 Re 3.31